# 1
CaTl6Pb: optimized geometry, PBE-GGA.

Lattice parameters (Å, degrees): 4.4955 7.2915 7.2915 90.00 90.00 90.00
Fractional coordinates of all 8 atoms:
Ca 0.5000 0.0000 0.0000
Tl 0.0000 0.7473 0.2527
Tl 0.0000 0.2527 0.7473
Tl 0.0000 0.7473 0.7473
Tl 0.0000 0.2527 0.2527
Tl 0.5000 0.5000 0.0000
Tl 0.5000 0.0000 0.5000
Pb 0.5000 0.5000 0.5000

Properties
Energy relative to the elements, kJ per mole of atoms: -10
Space-group type: No. 123
Magnetization, μB per cell: 0.00
DFT total energy, eV/atom: -2.597
Energy above the lowest structure with this stoichiometry, meV/atom: 0
Volume, Å³ per atom: 29.88

=====

# 2
Ca4Tl4Pb3: optimized geometry, PBE-GGA.

Lattice parameters (Å, degrees): 3.7588 10.0043 10.8829 117.36 99.94 90.00
Fractional coordinates of all 11 atoms:
Ca 0.7191 0.2191 0.4381
Ca 0.2809 0.7809 0.5619
Ca 0.5000 0.7714 0.0000
Ca 0.5000 0.2286 0.0000
Tl 0.6602 0.4919 0.3205
Tl 0.3398 0.1714 0.6795
Tl 0.3398 0.5081 0.6795
Tl 0.6602 0.8286 0.3205
Pb 0.9165 0.9165 0.8329
Pb 0.0835 0.0835 0.1671
Pb 0.0000 0.5000 0.0000

Properties
Energy relative to the elements, kJ per mole of atoms: -19
Space-group type: No. 71
Magnetization, μB per cell: 0.00
DFT total energy, eV/atom: -2.795
Volume, Å³ per atom: 32.41

=====

# 3
Ca4TlPb: optimized geometry, PBE-GGA.

Lattice parameters (Å, degrees): 6.8724 8.8190 8.8298 115.28 107.24 100.71
Fractional coordinates of all 12 atoms:
Ca 0.0139 0.2456 0.8838
Ca 0.7824 0.6943 0.6459
Ca 0.3699 0.6382 0.8838
Ca 0.3635 0.9515 0.6459
Ca 0.6365 0.0485 0.3541
Ca 0.6301 0.3618 0.1162
Ca 0.2176 0.3057 0.3541
Ca 0.9861 0.7544 0.1162
Tl 0.2393 0.9893 0.9787
Tl 0.7607 0.0107 0.0213
Pb 0.3900 0.6400 0.2801
Pb 0.6100 0.3600 0.7199

Properties
Energy relative to the elements, kJ per mole of atoms: -36
Space-group type: No. 15
Magnetization, μB per cell: 0.00
DFT total energy, eV/atom: -2.724
Energy above the lowest structure with this stoichiometry, meV/atom: 0
Volume, Å³ per atom: 35.91

=====

# 4
Ca2TlPb8: optimized geometry, PBE-GGA.

Lattice parameters (Å, degrees): 6.1294 6.7707 9.2548 111.63 87.94 89.74
Fractional coordinates of all 11 atoms:
Ca 0.1723 0.6643 0.3289
Ca 0.8277 0.3357 0.6711
Tl 0.5000 0.0000 0.0000
Pb 0.6642 0.9135 0.3311
Pb 0.3359 0.5832 0.6677
Pb 0.1666 0.1667 0.3333
Pb 0.0003 0.2519 0.0004
Pb 0.8334 0.8333 0.6667
Pb 0.6641 0.4168 0.3323
Pb 0.3358 0.0865 0.6689
Pb 0.9997 0.7481 0.9996

Properties
Energy relative to the elements, kJ per mole of atoms: -14
Space-group type: No. 2
Magnetization, μB per cell: 0.00
DFT total energy, eV/atom: -3.424
Volume, Å³ per atom: 32.43

=====

# 5
Ca2TlPb9: optimized geometry, PBE-GGA.

Lattice parameters (Å, degrees): 4.9266 4.9266 15.1758 90.00 90.00 90.00
Fractional coordinates of all 12 atoms:
Ca 0.0000 0.0000 0.3410
Ca 0.0000 0.0000 0.6590
Tl 0.0000 0.0000 0.0000
Pb 0.5000 0.5000 0.0000
Pb 0.5000 0.5000 0.3331
Pb 0.5000 0.5000 0.6669
Pb 0.5000 0.0000 0.1700
Pb 0.5000 0.0000 0.5000
Pb 0.5000 0.0000 0.8300
Pb 0.0000 0.5000 0.1700
Pb 0.0000 0.5000 0.5000
Pb 0.0000 0.5000 0.8300

Properties
Energy relative to the elements, kJ per mole of atoms: -19
Space-group type: No. 123
Magnetization, μB per cell: 0.00
DFT total energy, eV/atom: -3.507
Volume, Å³ per atom: 30.69

=====

# 6
Ca5Tl2Pb5: optimized geometry, PBE-GGA.

Lattice parameters (Å, degrees): 4.9736 9.2316 8.9433 72.07 73.86 74.37
Fractional coordinates of all 12 atoms:
Ca 0.5000 0.5000 0.5000
Ca 0.3989 0.2745 0.9278
Ca 0.3318 0.9995 0.3370
Ca 0.6682 0.0005 0.6630
Ca 0.6011 0.7255 0.0722
Tl 0.8397 0.5180 0.8026
Tl 0.1603 0.4820 0.1974
Pb 0.9350 0.7539 0.3762
Pb 0.2468 0.7456 0.7607
Pb 0.7532 0.2544 0.2393
Pb 0.0650 0.2461 0.6238
Pb 0.0000 0.0000 0.0000

Properties
Energy relative to the elements, kJ per mole of atoms: -37
Space-group type: No. 12
Magnetization, μB per cell: 0.00
DFT total energy, eV/atom: -3.154
Volume, Å³ per atom: 30.63

=====

# 7
CaTlPb2: optimized geometry, PBE-GGA.

Lattice parameters (Å, degrees): 5.6111 3.4922 6.3276 87.71 90.00 90.00
Fractional coordinates of all 4 atoms:
Pb 0.0000 0.1129 0.9952
Pb 0.0000 0.3871 0.5048
Tl 0.5000 0.2500 0.2500
Ca 0.5000 0.7500 0.7500

Properties
Energy relative to the elements, kJ per mole of atoms: -17
Space-group type: No. 10
Magnetization, μB per cell: 0.00
DFT total energy, eV/atom: -3.125
Volume, Å³ per atom: 30.97

=====

# 8
CaTmTlPb: optimized geometry, PBE-GGA.

Lattice parameters (Å, degrees): 3.9268 3.9268 7.4236 90.00 90.00 90.00
Fractional coordinates of all 4 atoms:
Ca 0.0000 0.0000 0.8572
Tm 0.0000 0.0000 0.3554
Tl 0.5000 0.5000 0.5959
Pb 0.5000 0.5000 0.1194

Properties
Energy relative to the elements, kJ per mole of atoms: -37
Space-group type: No. 99
Magnetization, μB per cell: 0.00
DFT total energy, eV/atom: -3.522
Energy above the lowest structure with this stoichiometry, meV/atom: 0
Volume, Å³ per atom: 28.62

=====

Question: Which value of volume does entry 4 give?
Answer: 32.43 Å³ per atom